No. 1
Entry from Alexandria via LeMat-Bulk: crystalline Fe3Ge at its relaxed geometry (GGA-PBEsol).

Cell: 3.974 3.974 3.974 Å, 60.00 60.00 60.00°
Fractional positions:
Fe (0.000, 0.000, 0.000)
Fe (0.250, 0.250, 0.250)
Fe (0.750, 0.750, 0.750)
Ge (0.500, 0.500, 0.500)

Computed properties:
Calculated formation energy ... -3.24 kcal/mol of atoms
Density of states at the Fermi level ... 0.6875 states/eV/atom
Calculated volume ... 11.095 Å³/atom

---

No. 2
Entry from Alexandria via LeMat-Bulk: crystalline BaSr2Ca at its relaxed geometry (GGA-PBEsol).

Cell: 13.759 13.759 13.759 Å, 17.36 17.36 17.36°
Fractional positions:
Ba (0.000, 0.000, 0.000)
Sr (0.246, 0.246, 0.246)
Sr (0.754, 0.754, 0.754)
Ca (0.500, 0.500, 0.500)

Computed properties:
Calculated formation energy ... 0.60 kcal/mol of atoms
Density of states at the Fermi level ... 1.3637 states/eV/atom
Calculated volume ... 50.580 Å³/atom
Energy above the lowest structure with this stoichiometry ... 1.1 kJ per mole of atoms

---

No. 3
Entry from Alexandria via LeMat-Bulk: crystalline TiNiSCl2 at its relaxed geometry (GGA-PBEsol).

Cell: 4.619 4.619 4.733 Å, 90.00 90.00 90.00°
Fractional positions:
Ti (0.000, 0.000, 0.000)
Ni (0.500, 0.500, 0.500)
S (0.000, 0.000, 0.500)
Cl (0.000, 0.500, 0.000)
Cl (0.500, 0.000, 0.000)

Computed properties:
DFT total energy ... -23.96 eV for the cell shown
Density of states at the Fermi level ... 1.9949 states/eV/atom
Calculated volume ... 20.198 Å³/atom

---

No. 4
Entry from Alexandria via LeMat-Bulk: crystalline OsRu at its relaxed geometry (GGA-PBEsol).

Cell: 2.707 2.707 4.288 Å, 90.00 90.00 120.00°
Fractional positions:
Os (0.000, 0.000, 0.000)
Ru (0.667, 0.333, 0.500)

Computed properties:
Calculated formation energy ... -0.26 kcal/mol of atoms
Density of states at the Fermi level ... 0.6794 states/eV/atom
Calculated volume ... 13.607 Å³/atom

---

No. 5
Entry from Alexandria via LeMat-Bulk: crystalline ZrCoRu2 at its relaxed geometry (GGA-PBEsol).

Cell: 4.698 4.698 4.698 Å, 131.65 131.65 70.79°
Fractional positions:
Zr (0.000, 0.000, 0.000)
Co (0.500, 0.500, 0.000)
Ru (0.250, 0.750, 0.500)
Ru (0.750, 0.250, 0.500)

Computed properties:
Calculated formation energy ... -0.10 kcal/mol of atoms
Density of states at the Fermi level ... 1.2180 states/eV/atom
Calculated volume ... 14.179 Å³/atom
Energy above the lowest structure with this stoichiometry ... 0.0 kJ per mole of atoms

---

No. 6
Entry from Alexandria via LeMat-Bulk: crystalline TaBe4 at its relaxed geometry (GGA-PBEsol).

Cell: 4.868 4.868 4.868 Å, 139.47 139.47 58.66°
Fractional positions:
Ta (0.000, 0.000, 0.000)
Be (0.250, 0.750, 0.500)
Be (0.385, 0.385, 0.000)
Be (0.615, 0.615, 0.000)
Be (0.750, 0.250, 0.500)

Computed properties:
Calculated formation energy ... -4.20 kcal/mol of atoms
Density of states at the Fermi level ... 0.1784 states/eV/atom
Calculated volume ... 9.654 Å³/atom

---

No. 7
Entry from Alexandria via LeMat-Bulk: crystalline LuSe at its relaxed geometry (GGA-PBEsol).

Cell: 3.923 3.923 3.923 Å, 60.00 60.00 60.00°
Fractional positions:
Lu (0.000, 0.000, 0.000)
Se (0.500, 0.500, 0.500)

Computed properties:
DFT total energy ... -12.07 eV for the cell shown
Density of states at the Fermi level ... 0.4843 states/eV/atom
Calculated volume ... 21.341 Å³/atom

---

No. 8
Entry from Alexandria via LeMat-Bulk: crystalline ZrTa2Ru at its relaxed geometry (GGA-PBEsol).

Cell: 5.422 5.422 5.422 Å, 145.68 129.48 62.50°
Fractional positions:
Zr (0.000, 0.000, 0.000)
Ta (0.481, 0.481, 0.000)
Ta (0.738, 0.238, 0.500)
Ru (0.246, 0.746, 0.500)

Computed properties:
Calculated formation energy ... -3.90 kcal/mol of atoms
Density of states at the Fermi level ... 0.8159 states/eV/atom
Calculated volume ... 17.155 Å³/atom

---

No. 9
Entry from Alexandria via LeMat-Bulk: crystalline AlRh2Au at its relaxed geometry (GGA-PBEsol).

Cell: 2.904 2.904 6.754 Å, 90.00 90.00 90.00°
Fractional positions:
Al (0.000, 0.000, 0.000)
Rh (0.500, 0.500, 0.217)
Rh (0.500, 0.500, 0.783)
Au (0.000, 0.000, 0.500)

Computed properties:
Calculated formation energy ... -10.18 kcal/mol of atoms
Density of states at the Fermi level ... 1.0468 states/eV/atom
Calculated volume ... 14.237 Å³/atom

---

No. 10
Entry from Alexandria via LeMat-Bulk: crystalline HfMg3Fe at its relaxed geometry (GGA-PBEsol).

Cell: 4.673 4.673 4.673 Å, 90.00 90.00 90.00°
Fractional positions:
Hf (0.000, 0.000, 0.000)
Mg (0.000, 0.500, 0.500)
Mg (0.500, 0.000, 0.500)
Mg (0.500, 0.500, 0.000)
Fe (0.500, 0.500, 0.500)

Computed properties:
Calculated formation energy ... 18.41 kcal/mol of atoms
Density of states at the Fermi level ... 1.1274 states/eV/atom
Calculated volume ... 20.402 Å³/atom

---

No. 11
Entry from Alexandria via LeMat-Bulk: crystalline Cs3Ti2Cl9 at its relaxed geometry (GGA-PBEsol).

Cell: 7.221 7.221 17.740 Å, 90.00 90.00 120.00°
Fractional positions:
Cs (0.000, 0.000, 0.250)
Cs (0.000, 0.000, 0.750)
Cs (0.333, 0.667, 0.074)
Cs (0.333, 0.667, 0.426)
Cs (0.667, 0.333, 0.574)
Cs (0.667, 0.333, 0.926)
Ti (0.333, 0.667, 0.665)
Ti (0.333, 0.667, 0.835)
Ti (0.667, 0.333, 0.165)
Ti (0.667, 0.333, 0.335)
Cl (0.019, 0.509, 0.750)
Cl (0.176, 0.353, 0.593)
Cl (0.176, 0.353, 0.907)
Cl (0.176, 0.824, 0.593)
Cl (0.176, 0.824, 0.907)
Cl (0.353, 0.176, 0.093)
Cl (0.353, 0.176, 0.407)
Cl (0.491, 0.509, 0.750)
Cl (0.491, 0.981, 0.750)
Cl (0.509, 0.019, 0.250)
Cl (0.509, 0.491, 0.250)
Cl (0.647, 0.824, 0.593)
Cl (0.647, 0.824, 0.907)
Cl (0.824, 0.176, 0.093)
Cl (0.824, 0.176, 0.407)
Cl (0.824, 0.647, 0.093)
Cl (0.824, 0.647, 0.407)
Cl (0.981, 0.491, 0.250)

Computed properties:
DFT total energy ... -126.66 eV for the cell shown
Density of states at the Fermi level ... 0.6234 states/eV/atom
Calculated volume ... 28.610 Å³/atom

---

No. 12
Entry from Alexandria via LeMat-Bulk: crystalline Tm2Sc3Si4 at its relaxed geometry (GGA-PBEsol).

Cell: 6.972 13.734 7.266 Å, 90.00 90.00 90.00°
Fractional positions:
Tm (0.010, 0.096, 0.177)
Tm (0.010, 0.404, 0.177)
Tm (0.490, 0.596, 0.677)
Tm (0.490, 0.904, 0.677)
Tm (0.510, 0.096, 0.323)
Tm (0.510, 0.404, 0.323)
Tm (0.990, 0.596, 0.823)
Tm (0.990, 0.904, 0.823)
Sc (0.163, 0.750, 0.504)
Sc (0.169, 0.126, 0.677)
Sc (0.169, 0.374, 0.677)
Sc (0.331, 0.626, 0.177)
Sc (0.331, 0.874, 0.177)
Sc (0.337, 0.250, 0.004)
Sc (0.663, 0.750, 0.996)
Sc (0.669, 0.126, 0.823)
Sc (0.669, 0.374, 0.823)
Sc (0.831, 0.626, 0.323)
Sc (0.831, 0.874, 0.323)
Sc (0.837, 0.250, 0.496)
Si (0.034, 0.750, 0.112)
Si (0.160, 0.539, 0.465)
Si (0.160, 0.961, 0.465)
Si (0.213, 0.250, 0.369)
Si (0.287, 0.750, 0.869)
Si (0.340, 0.039, 0.965)
Si (0.340, 0.461, 0.965)
Si (0.466, 0.250, 0.612)
Si (0.534, 0.750, 0.388)
Si (0.660, 0.539, 0.035)
Si (0.660, 0.961, 0.035)
Si (0.713, 0.250, 0.131)
Si (0.787, 0.750, 0.631)
Si (0.840, 0.039, 0.535)
Si (0.840, 0.461, 0.535)
Si (0.966, 0.250, 0.888)

Computed properties:
DFT total energy ... -242.10 eV for the cell shown
Density of states at the Fermi level ... 0.8712 states/eV/atom
Calculated volume ... 19.324 Å³/atom